Density functional theory data (PBE) for an optimized crystal structure of TiNi2Sb. Values from VASP.

```
&SYSTEM
  ibrav = 0, nat = 8, ntyp = 3
/
ATOMIC_SPECIES
Ti 47.87 Ti.upf
Ni 58.69 Ni.upf
Sb 121.76 Sb.upf
CELL_PARAMETERS angstrom
-1.968 1.968 8.464
1.968 -1.968 8.464
1.968 1.968 -8.464
ATOMIC_POSITIONS angstrom
Ti 0.000 0.000 0.000
Ti 0.000 1.968 4.232
Ni 2.951 0.936 -2.116
Ni 0.936 0.984 2.116
Ni -0.984 1.031 6.348
Ni 1.031 0.984 10.580
Sb 1.968 0.000 4.232
Sb 0.000 0.000 8.464
```

Space group: No. 122
Energy relative to the elements, uncorrected in eV per atom: -0.001
DOS(E_F) in states/eV/f.u.: 0.99